Entry 1:
A geometry-optimized NpSi2Rh structure. Source: Alexandria, functional PBE.

Structure (extended XYZ):
```
16
Lattice="-0.777 -2.702 2.800 6.634 0.470 2.295 -2.660 7.205 6.215" Properties=species:S:1:pos:R:3 pbc="T T T"
Np 2.647 0.984 5.902
Np 0.002 -1.070 3.185
Np 0.550 3.989 5.408
Np 3.196 6.043 8.124
Si 3.934 -1.152 4.198
Si -0.737 6.125 7.112
Si -0.314 1.135 5.226
Si 3.511 3.838 6.084
Si -1.725 3.919 7.520
Si 1.259 1.757 3.451
Si 1.938 3.216 7.859
Si 4.923 1.054 3.790
Rh -1.157 2.146 3.156
Rh 4.355 2.827 8.154
Rh 2.909 0.351 2.552
Rh 0.288 4.622 8.758
```

Summary:
Space-group type: Pnma
VASP energy in eV per atom: -8.393
Total magnetization in μB/atom: 0.926
Formation energy (no corrections) in kJ/mol of atoms: -58.70


Entry 2:
A geometry-optimized ThRe2Si2 structure. Source: Alexandria, functional PBE.

Structure (extended XYZ):
```
5
Lattice="0.003 -1.978 3.696 4.130 0.629 0.352 -2.945 5.111 0.351" Properties=species:S:1:pos:R:3 pbc="T T T"
Th 0.000 0.000 0.000
Re -0.438 1.229 3.036
Re 1.626 2.533 1.364
Si 1.848 0.431 2.616
Si -0.660 3.331 1.784
```

Summary:
Space-group type: Fmmm
VASP energy in eV per atom: -9.138
Total magnetization in μB/atom: 0.000
Formation energy (no corrections) in kJ/mol of atoms: -48.76


Question: The lowest VASP energy belongs to which entry?
Answer: ThRe2Si2


Question: Among the records above, which one has the lowest VASP energy?
Answer: ThRe2Si2